(1)
VASP calculation (PBE) on an optimized crystal structure of Tm2BiPt9.

CIF file:
```
data_Tm2BiPt9
_chemical_formula_sum 'Tm2 Bi1 Pt9'
_cell_length_a 4.106
_cell_length_b 4.106
_cell_length_c 12.403
_cell_angle_alpha 90.00
_cell_angle_beta 90.00
_cell_angle_gamma 90.00
_symmetry_space_group_name_H-M 'P 4/m m m'
_symmetry_Int_Tables_number 123
_symmetry_space_group_name_Hall '-P 4 2'
loop_
_atom_site_label
_atom_site_type_symbol
_atom_site_fract_x
_atom_site_fract_y
_atom_site_fract_z
Tm1 Tm 0.000 0.000 0.162
Bi1 Bi 0.000 0.000 0.500
Pt1 Pt 0.000 0.500 0.000
Pt2 Pt 0.000 0.500 0.328
Pt3 Pt 0.500 0.500 0.166
Pt4 Pt 0.500 0.500 0.500
```

=====

(2)
VASP calculation (PBE) on an optimized crystal structure of Tm3BiPt.

CIF file:
```
data_Tm3BiPt
_chemical_formula_sum 'Tm12 Bi4 Pt4'
_cell_length_a 7.569
_cell_length_b 4.358
_cell_length_c 16.468
_cell_angle_alpha 90.00
_cell_angle_beta 90.00
_cell_angle_gamma 90.00
_symmetry_space_group_name_H-M 'P n m a'
_symmetry_Int_Tables_number 62
_symmetry_space_group_name_Hall '-P 2ac 2n'
loop_
_atom_site_label
_atom_site_type_symbol
_atom_site_fract_x
_atom_site_fract_y
_atom_site_fract_z
Tm1 Tm 0.016 0.250 0.093
Tm2 Tm 0.135 0.750 0.447
Tm3 Tm 0.175 0.250 0.709
Bi1 Bi 0.126 0.250 0.302
Pt1 Pt 0.239 0.750 0.042
```

=====

(3)
VASP calculation (PBE) on an optimized crystal structure of Tm2BiPt2.

CIF file:
```
data_Tm2BiPt2
_chemical_formula_sum 'Tm4 Bi2 Pt4'
_cell_length_a 8.010
_cell_length_b 8.010
_cell_length_c 3.484
_cell_angle_alpha 90.00
_cell_angle_beta 90.00
_cell_angle_gamma 90.00
_symmetry_space_group_name_H-M 'P 4/m b m'
_symmetry_Int_Tables_number 127
_symmetry_space_group_name_Hall '-P 4 2ab'
loop_
_atom_site_label
_atom_site_type_symbol
_atom_site_fract_x
_atom_site_fract_y
_atom_site_fract_z
Tm1 Tm 0.163 0.337 0.000
Bi1 Bi 0.000 0.000 0.500
Pt1 Pt 0.128 0.628 0.500
```

=====

(4)
VASP calculation (PBE) on an optimized crystal structure of U2BiPt9.

CIF file:
```
data_U2BiPt9
_chemical_formula_sum 'U2 Bi1 Pt9'
_cell_length_a 4.175
_cell_length_b 4.175
_cell_length_c 12.449
_cell_angle_alpha 90.00
_cell_angle_beta 90.00
_cell_angle_gamma 90.00
_symmetry_space_group_name_H-M 'P 4/m m m'
_symmetry_Int_Tables_number 123
_symmetry_space_group_name_Hall '-P 4 2'
loop_
_atom_site_label
_atom_site_type_symbol
_atom_site_fract_x
_atom_site_fract_y
_atom_site_fract_z
U1 U 0.000 0.000 0.167
Bi1 Bi 0.000 0.000 0.500
Pt1 Pt 0.000 0.500 0.000
Pt2 Pt 0.000 0.500 0.326
Pt3 Pt 0.500 0.500 0.165
Pt4 Pt 0.500 0.500 0.500
```

=====

(5)
VASP calculation (PBE) on an optimized crystal structure of UBiPt2.

CIF file:
```
data_UBiPt2
_chemical_formula_sum 'U3 Bi3 Pt6'
_cell_length_a 4.2212
_cell_length_b 4.2212
_cell_length_c 18.1047
_cell_angle_alpha 90.00
_cell_angle_beta 90.00
_cell_angle_gamma 120.00
_symmetry_space_group_name_H-M 'R -3 m'
_symmetry_Int_Tables_number 166
_symmetry_space_group_name_Hall '-R 3 2"'
loop_
_atom_site_label
_atom_site_type_symbol
_atom_site_fract_x
_atom_site_fract_y
_atom_site_fract_z
U1 U 0.0000 0.0000 0.0000
Bi1 Bi 0.0000 0.0000 0.5000
Pt1 Pt 0.0000 0.0000 0.2521
```

=====

(6)
VASP calculation (PBE) on an optimized crystal structure of UBiPt2.

CIF file:
```
data_UBiPt2
_chemical_formula_sum 'U1 Bi1 Pt2'
_cell_length_a 3.349
_cell_length_b 3.349
_cell_length_c 7.735
_cell_angle_alpha 90.00
_cell_angle_beta 90.00
_cell_angle_gamma 90.00
_symmetry_space_group_name_H-M 'P 4/m m m'
_symmetry_Int_Tables_number 123
_symmetry_space_group_name_Hall '-P 4 2'
loop_
_atom_site_label
_atom_site_type_symbol
_atom_site_fract_x
_atom_site_fract_y
_atom_site_fract_z
U1 U 0.000 0.000 0.000
Bi1 Bi 0.000 0.000 0.500
Pt1 Pt 0.500 0.500 0.219
```

=====

Computed energy (eV per cell) in order:
-76.19 -111.01 -60.88 -86.79 -86.64 -28.98